No. 1
Below is crystalline PtW2 at its relaxed geometry, with properties calculated at the PBE level.

Values from the calculation:
Energy relative to the elements ... 0.4910 eV/atom
DOS(E_F) ... 2.84 states/eV/f.u.
Total magnetization ... 0.0 μB per formula unit
Energy ... -10.158 eV per atom
ρ ... 17.81 g cm⁻³
Symmetry ... Imma (74)

```
PtW2
1.0
-1.3484 2.0722 9.3866
1.3484 -2.0722 9.3866
1.3484 2.0722 -9.3866
Pt W
2 4
direct
0.3696 0.1196 0.2500
0.6304 0.8804 0.7500
0.0634 0.3134 0.7500
0.2098 0.4598 0.7500
0.7902 0.5402 0.2500
0.9366 0.6866 0.2500
```

=====

No. 2
Below is crystalline K2UCu3S5 at its relaxed geometry, with properties calculated at the PBE level.

Values from the calculation:
DOS(E_F) ... 5.30 states/eV/f.u.
Total magnetization ... 1.1 μB per formula unit
Energy ... -5.184 eV per atom
ρ ... 4.52 g cm⁻³
Symmetry ... Cmcm (63)

```
K2UCu3S5
1.0
1.9698 -7.0440 0.0000
1.9698 7.0440 0.0000
0.0000 0.0000 17.6563
K U Cu S
4 2 6 10
direct
0.2367 0.7633 0.6325
0.2367 0.7633 0.8675
0.7633 0.2367 0.1325
0.7633 0.2367 0.3675
0.5000 0.5000 0.0000
0.5000 0.5000 0.5000
0.0420 0.9580 0.1438
0.0420 0.9580 0.3562
0.4477 0.5523 0.7500
0.5523 0.4477 0.2500
0.9580 0.0420 0.6438
0.9580 0.0420 0.8562
0.1239 0.8761 0.0305
0.1239 0.8761 0.4695
0.1443 0.8557 0.2500
0.4471 0.5529 0.1420
0.4471 0.5529 0.3580
0.5529 0.4471 0.6420
0.5529 0.4471 0.8580
0.8557 0.1443 0.7500
0.8761 0.1239 0.5305
0.8761 0.1239 0.9695
```

=====

No. 3
Below is crystalline CaCr2Rh at its relaxed geometry, with properties calculated at the PBE level.

Values from the calculation:
Energy relative to the elements ... 0.7969 eV/atom
DOS(E_F) ... 5.17 states/eV/f.u.
Total magnetization ... 0.0 μB per formula unit
Energy ... -6.353 eV per atom
ρ ... 6.65 g cm⁻³
Symmetry ... R-3m (166)

```
CaCr2Rh
1.0
1.3803 0.7969 9.3476
-1.3803 0.7969 9.3476
0.0000 -1.5939 9.3476
Ca Cr Rh
1 2 1
direct
0.0000 0.0000 0.0000
0.2403 0.2403 0.2403
0.7597 0.7597 0.7597
0.5000 0.5000 0.5000
```

=====

No. 4
Below is crystalline Rb3Hg3Pt at its relaxed geometry, with properties calculated at the PBE level.

Values from the calculation:
Energy relative to the elements ... -0.2045 eV/atom
DOS(E_F) ... 3.33 states/eV/f.u.
Total magnetization ... 0.0 μB per formula unit
Energy ... -1.611 eV per atom
ρ ... 6.06 g cm⁻³
Symmetry ... Cmce (64)

```
Rb3Hg3Pt
1.0
10.7089 -3.6767 0.0000
10.7089 3.6767 0.0000
0.0000 0.0000 14.6601
Rb Hg Pt
12 12 4
direct
0.0020 0.6622 0.6355
0.1622 0.5020 0.1355
0.2328 0.7672 0.8231
0.2672 0.7328 0.3231
0.3378 0.9980 0.6355
0.4980 0.8378 0.1355
0.5020 0.1622 0.8645
0.6622 0.0020 0.3645
0.7328 0.2672 0.6769
0.7672 0.2328 0.1769
0.8378 0.4980 0.8645
0.9980 0.3378 0.3645
0.0006 0.3184 0.0987
0.1816 0.4994 0.4013
0.1866 0.8134 0.5704
0.3134 0.6866 0.0704
0.3184 0.0006 0.9013
0.4994 0.1816 0.5987
0.5006 0.8184 0.4013
0.6816 0.9994 0.0987
0.6866 0.3134 0.9296
0.8134 0.1866 0.4296
0.8184 0.5006 0.5987
0.9994 0.6816 0.9013
0.0636 0.0636 0.0000
0.4364 0.4364 0.5000
0.5636 0.5636 0.5000
0.9364 0.9364 0.0000
```

=====

No. 5
Below is crystalline BeBiS2N at its relaxed geometry, with properties calculated at the PBE level.

Values from the calculation:
DOS(E_F) ... 2.43 states/eV/f.u.
Total magnetization ... 1.6 μB per formula unit
Energy ... -4.487 eV per atom
ρ ... 6.14 g cm⁻³
Symmetry ... P4/mmm (123)

```
BeBiS2N
1.0
4.8141 0.0000 0.0000
0.0000 4.8141 0.0000
0.0000 0.0000 3.4554
Be Bi S N
1 1 2 1
direct
0.0000 0.0000 0.0000
0.5000 0.5000 0.5000
0.0000 0.5000 0.0000
0.5000 0.0000 0.0000
0.0000 0.0000 0.5000
```

=====

No. 6
Below is crystalline Ac3Pm4Si4 at its relaxed geometry, with properties calculated at the PBE level.

Values from the calculation:
DOS(E_F) ... 11.02 states/eV/f.u.
Total magnetization ... 0.0 μB per formula unit
Energy ... -5.064 eV per atom
ρ ... 6.36 g cm⁻³
Symmetry ... I-43m (217)

```
Ac3Pm4Si4
1.0
-4.4761 4.4761 4.4761
4.4761 -4.4761 4.4761
4.4761 4.4761 -4.4761
Ac Pm Si
3 4 4
direct
0.0000 0.5000 0.5000
0.5000 0.0000 0.5000
0.5000 0.5000 0.0000
0.0000 0.0000 0.7144
0.0000 0.7144 0.0000
0.2856 0.2856 0.2856
0.7144 0.0000 0.0000
0.0000 0.0000 0.3542
0.0000 0.3542 0.0000
0.3542 0.0000 0.0000
0.6458 0.6458 0.6458
```

=====

No. 7
Below is crystalline ScSnSe3 at its relaxed geometry, with properties calculated at the PBE level.

Values from the calculation:
DOS(E_F) ... 4.48 states/eV/f.u.
Total magnetization ... 0.2 μB per formula unit
Energy ... -4.202 eV per atom
ρ ... 4.71 g cm⁻³
Symmetry ... Pm-3m (221)

```
ScSnSe3
1.0
5.2088 0.0000 0.0000
0.0000 5.2088 0.0000
0.0000 0.0000 5.2088
Sc Sn Se
1 1 3
direct
0.0000 0.0000 0.0000
0.5000 0.5000 0.5000
0.0000 0.5000 0.5000
0.5000 0.0000 0.5000
0.5000 0.5000 0.0000
```

=====

No. 8
Below is crystalline Sm2CdRhO5 at its relaxed geometry, with properties calculated at the PBE level.

Values from the calculation:
DOS(E_F) ... 6.40 states/eV/f.u.
Total magnetization ... 1.0 μB per formula unit
Energy ... -6.723 eV per atom
ρ ... 7.67 g cm⁻³
Symmetry ... P4/mbm (127)

```
Sm2CdRhO5
1.0
6.6842 0.0000 0.0000
0.0000 6.6842 0.0000
0.0000 0.0000 5.7784
Sm Cd Rh O
4 2 2 10
direct
0.1731 0.3269 0.0000
0.3269 0.8269 0.0000
0.6731 0.1731 0.0000
0.8269 0.6731 0.0000
0.0000 0.0000 0.5000
0.5000 0.5000 0.5000
0.0000 0.5000 0.5000
0.5000 0.0000 0.5000
0.0000 0.0000 0.0000
0.1412 0.6412 0.2463
0.1412 0.6412 0.7537
0.3588 0.1412 0.2463
0.3588 0.1412 0.7537
0.5000 0.5000 0.0000
0.6412 0.8588 0.2463
0.6412 0.8588 0.7537
0.8588 0.3588 0.2463
0.8588 0.3588 0.7537
```

=====

No. 9
Below is crystalline LaTa3Zn at its relaxed geometry, with properties calculated at the PBE level.

Values from the calculation:
Energy relative to the elements ... 1.1863 eV/atom
DOS(E_F) ... 10.26 states/eV/f.u.
Total magnetization ... 0.0 μB per formula unit
Energy ... -7.166 eV per atom
ρ ... 10.66 g cm⁻³
Symmetry ... Pm-3m (221)

```
LaTa3Zn
1.0
4.8821 0.0000 0.0000
0.0000 4.8821 0.0000
0.0000 0.0000 4.8821
La Ta Zn
1 3 1
direct
0.0000 0.0000 0.0000
0.0000 0.5000 0.5000
0.5000 0.0000 0.5000
0.5000 0.5000 0.0000
0.5000 0.5000 0.5000
```

=====

No. 10
Below is crystalline Y2Mn at its relaxed geometry, with properties calculated at the PBE level.

Values from the calculation:
Energy relative to the elements ... 0.1674 eV/atom
DOS(E_F) ... 4.10 states/eV/f.u.
Total magnetization ... 3.1 μB per formula unit
Energy ... -7.199 eV per atom
ρ ... 4.99 g cm⁻³
Symmetry ... Cmcm (63)

```
Y2Mn
1.0
1.7663 -8.3814 0.0000
1.7663 8.3814 0.0000
0.0000 0.0000 5.2316
Y Mn
4 2
direct
0.0810 0.9190 0.7500
0.2152 0.7848 0.2500
0.7848 0.2152 0.7500
0.9190 0.0810 0.2500
0.4378 0.5622 0.7500
0.5622 0.4378 0.2500
```

=====

No. 11
Below is crystalline LiCuSn4 at its relaxed geometry, with properties calculated at the PBE level.

Values from the calculation:
Energy relative to the elements ... -0.0072 eV/atom
DOS(E_F) ... 2.69 states/eV/f.u.
Total magnetization ... 0.0 μB per formula unit
Energy ... -3.677 eV per atom
ρ ... 6.42 g cm⁻³
Symmetry ... P2_1/c (14)

```
LiCuSn4
1.0
6.5004 0.0000 0.0000
0.0000 8.1167 0.0000
-1.9879 0.0000 5.3475
Li Cu Sn
2 2 8
direct
0.0000 0.0000 0.0000
0.0000 0.5000 0.5000
0.5000 0.0000 0.5000
0.5000 0.5000 0.0000
0.1374 0.1608 0.4959
0.1374 0.3392 0.9959
0.3751 0.6639 0.3584
0.3751 0.8361 0.8584
0.6249 0.1639 0.1416
0.6249 0.3361 0.6416
0.8626 0.6608 0.0041
0.8626 0.8392 0.5041
```

=====

No. 12
Below is crystalline LiLaTm2 at its relaxed geometry, with properties calculated at the PBE level.

Values from the calculation:
Energy relative to the elements ... 0.1505 eV/atom
DOS(E_F) ... 5.21 states/eV/f.u.
Total magnetization ... 0.0 μB per formula unit
Energy ... -3.796 eV per atom
ρ ... 6.68 g cm⁻³
Symmetry ... R3m (160)

```
LiLaTm2
1.0
1.7499 1.0103 11.3276
-1.7499 1.0103 11.3276
0.0000 -2.0206 11.3276
Li La Tm
1 1 2
direct
0.0000 0.0000 0.0000
0.8336 0.8336 0.8336
0.4116 0.4116 0.4116
0.5888 0.5888 0.5888
```

=====

Copy entry 2 word for word.
Below is crystalline K2UCu3S5 at its relaxed geometry, with properties calculated at the PBE level.

Values from the calculation:
DOS(E_F) ... 5.30 states/eV/f.u.
Total magnetization ... 1.1 μB per formula unit
Energy ... -5.184 eV per atom
ρ ... 4.52 g cm⁻³
Symmetry ... Cmcm (63)

```
K2UCu3S5
1.0
1.9698 -7.0440 0.0000
1.9698 7.0440 0.0000
0.0000 0.0000 17.6563
K U Cu S
4 2 6 10
direct
0.2367 0.7633 0.6325
0.2367 0.7633 0.8675
0.7633 0.2367 0.1325
0.7633 0.2367 0.3675
0.5000 0.5000 0.0000
0.5000 0.5000 0.5000
0.0420 0.9580 0.1438
0.0420 0.9580 0.3562
0.4477 0.5523 0.7500
0.5523 0.4477 0.2500
0.9580 0.0420 0.6438
0.9580 0.0420 0.8562
0.1239 0.8761 0.0305
0.1239 0.8761 0.4695
0.1443 0.8557 0.2500
0.4471 0.5529 0.1420
0.4471 0.5529 0.3580
0.5529 0.4471 0.6420
0.5529 0.4471 0.8580
0.8557 0.1443 0.7500
0.8761 0.1239 0.5305
0.8761 0.1239 0.9695
```

=====

The lowest DOS(E_F) belongs to which entry? BeBiS2N

=====

The highest DOS(E_F) belongs to which entry? Ac3Pm4Si4

=====

Which value of ρ does entry 6 give? 6.36 g cm⁻³